{"formula": "CrCo2Ag", "functional": "PBE", "state": "relaxed", "lattice_angstrom": [[-1.8426, 1.8426, 3.8516], [1.8426, -1.8426, 3.8516], [1.8426, 1.8426, -3.8516]], "species": ["Cr", "Co", "Co", "Ag"], "frac_coords": [[0.0000, 0.0000, 0.0000], [0.5000, 0.5000, 0.0000], [0.7500, 0.2500, 0.5000], [0.2500, 0.7500, 0.5000]], "ef_ev_per_atom": 0.448, "total_energy_ev_per_atom": -6.224, "relative_energy_mev_per_atom": 139}